(1)
{"formula": "MnNiSe2", "functional": "PBEsol", "state": "optimized geometry", "cell": [[1.7946, 1.0361, 5.8448], [-1.7946, 1.0361, 5.8448], [0.0000, -2.0723, 5.8448]], "species": ["Mn", "Ni", "Se", "Se"], "fractional_positions": [[0.0000, 0.0000, 0.0000], [0.5000, 0.5000, 0.5000], [0.2450, 0.2450, 0.2450], [0.7550, 0.7550, 0.7550]], "e_form_raw_ev_per_fu": -0.77, "relative_energy_ev_per_atom": 0.129, "magmom_total_mub_per_fu": 3.1}

---

(2)
{"formula": "Mn2NiSe", "functional": "PBEsol", "state": "optimized geometry", "cell": [[-1.6119, 1.9357, 4.2344], [1.6119, -1.9357, 4.2344], [1.6119, 1.9357, -4.2344]], "species": ["Mn", "Mn", "Ni", "Se"], "fractional_positions": [[0.0000, 0.0000, 0.0000], [0.7311, 0.2311, 0.5000], [0.4872, 0.4872, 0.0000], [0.2744, 0.7744, 0.5000]], "e_form_raw_ev_per_fu": 0.71, "magmom_total_mub_per_fu": 7.2}